No. 1
Computed, not measured: a relaxed Li6Ac3Hg5 crystal at the PBE level of DFT.

## Properties
As for the total energy: -2.1407 eV per atom. The calculation puts the energy of formation at -0.3323 eV per atom. The value obtained for the density is 8.01 Mg/m³. As for the space group: Pmmn.

Unit cell a=4.4843 b=13.8179 c=11.5499 alpha=90.00 beta=90.00 gamma=90.00
Element x y z (fractional)
Li1 0.2500 0.0575 0.0778
Li2 0.2500 0.2500 0.4973
Li3 0.2500 0.2500 0.9942
Li4 0.2500 0.4425 0.0778
Li5 0.2500 0.5819 0.5014
Li6 0.2500 0.9181 0.5014
Li7 0.7500 0.0819 0.4986
Li8 0.7500 0.4181 0.4986
Li9 0.7500 0.5575 0.9222
Li10 0.7500 0.7500 0.0058
Li11 0.7500 0.7500 0.5027
Li12 0.7500 0.9425 0.9222
Ac1 0.2500 0.0832 0.7532
Ac2 0.2500 0.4168 0.7532
Ac3 0.2500 0.7500 0.7617
Ac4 0.7500 0.2500 0.2383
Ac5 0.7500 0.5832 0.2468
Ac6 0.7500 0.9168 0.2468
Hg1 0.2500 0.0855 0.3427
Hg2 0.2500 0.4145 0.3427
Hg3 0.2500 0.6380 0.0322
Hg4 0.2500 0.7500 0.3530
Hg5 0.2500 0.8620 0.0322
Hg6 0.7500 0.1380 0.9678
Hg7 0.7500 0.2500 0.6470
Hg8 0.7500 0.3620 0.9678
Hg9 0.7500 0.5855 0.6573
Hg10 0.7500 0.9145 0.6573

No. 2
Computed, not measured: a relaxed Li2AcHg crystal at the PBE level of DFT.

## Properties
The energy above the most stable polymorph in this dataset is 0.030 eV per atom. As for the total energy: -2.2775 eV per atom. The calculation puts the energy of formation at -0.2180 eV per atom. The value obtained for the density is 6.88 Mg/m³. As for the space group: R3m.

Unit cell a=4.7808 b=4.7808 c=16.1571 alpha=90.00 beta=90.00 gamma=120.00
Element x y z (fractional)
Li1 0.0000 0.0000 0.0000
Li2 0.0000 0.0000 0.2950
Li3 0.3333 0.6667 0.6667
Li4 0.3333 0.6667 0.9617
Li5 0.6667 0.3333 0.3333
Li6 0.6667 0.3333 0.6284
Ac1 0.0000 0.0000 0.4950
Ac2 0.3333 0.6667 0.1616
Ac3 0.6667 0.3333 0.8283
Hg1 0.0000 0.0000 0.7006
Hg2 0.3333 0.6667 0.3672
Hg3 0.6667 0.3333 0.0339

Q: Number 2 is which compound?
A: Li2AcHg